Entry 1:
The following is a DFT calculation (PBE) of crystalline MnFeBP at its relaxed geometry.

abc: 3.4484 2.9240 7.5415
angles: 90.00 90.00 90.00
Closest atoms and distances in Å follow each position.
Element x y z (fractional)
Mn1 0.0000 0.0000 0.0000  3 B 2.10-2.22, 4 P 2.30
Mn2 0.0000 0.5000 0.5000  3 B 2.10-2.22, 4 P 2.30
Fe1 0.5000 0.0000 0.2702  3 P 2.16-2.18, 4 B 2.29
Fe2 0.5000 0.5000 0.7702  3 P 2.16-2.18, 4 B 2.29
B1 0.0000 0.0000 0.7219  3 Mn 2.10-2.22, 2 P 2.13, 4 Fe 2.29
B2 0.0000 0.5000 0.2219  3 Mn 2.10-2.22, 2 P 2.13, 4 Fe 2.29
P1 0.5000 0.0000 0.5562  2 B 2.13, 3 Fe 2.16-2.18, 4 Mn 2.30
P2 0.5000 0.5000 0.0562  2 B 2.13, 3 Fe 2.16-2.18, 4 Mn 2.30

Its formation enthalpy at 0 K is -0.220 eV per atom. As for the symmetry: No. 38.

***

Entry 2:
The following is a DFT calculation (PBE) of crystalline YCuPb2 at its relaxed geometry.

abc: 4.5647 3.6723 12.4667
angles: 90.00 90.00 90.00
Closest atoms and distances in Å follow each position.
Element x y z (fractional)
Y1 0.0000 0.0000 0.0000  4 Cu 3.11, 7 Pb 3.34-3.44
Y2 0.0000 0.5000 0.5000  4 Cu 3.11, 7 Pb 3.34-3.44
Cu1 0.5000 0.0000 0.5848  3 Pb 2.79-2.87, 4 Y 3.11
Cu2 0.5000 0.5000 0.0848  3 Pb 2.79-2.87, 4 Y 3.11
Pb1 0.0000 0.0000 0.7241  2 Cu 2.87
Pb2 0.0000 0.5000 0.2241  2 Cu 2.87
Pb3 0.5000 0.0000 0.3611  1 Cu 2.79
Pb4 0.5000 0.5000 0.8611  1 Cu 2.79

Its formation enthalpy at 0 K is -0.072 eV per atom. As for the symmetry: No. 38.

***

Entry 3:
The following is a DFT calculation (PBE) of crystalline AcTi6Se12 at its relaxed geometry.

abc: 7.9444 7.9444 7.9444
angles: 108.64 108.64 108.64
Closest atoms and distances in Å follow each position.
Element x y z (fractional)
Ac1 0.0000 0.0000 0.0000  6 Se 3.24
Ti1 0.2587 0.7138 0.7138  6 Se 2.51-2.71
Ti2 0.2862 0.2862 0.7413  6 Se 2.51-2.71
Ti3 0.2862 0.7413 0.2862  6 Se 2.51-2.71
Ti4 0.7138 0.2587 0.7138  6 Se 2.51-2.71
Ti5 0.7138 0.7138 0.2587  6 Se 2.51-2.71
Ti6 0.7413 0.2862 0.2862  6 Se 2.51-2.71
Se1 0.1155 0.5000 0.8845  4 Ti 2.69-2.71, 5 Se 2.98-3.00
Se2 0.1155 0.8845 0.5000  4 Ti 2.69-2.71, 5 Se 2.98-3.00
Se3 0.1369 0.4000 0.4000  2 Ti 2.51-2.71
Se4 0.4000 0.1369 0.4000  2 Ti 2.51-2.71
Se5 0.4000 0.4000 0.1369  2 Ti 2.51-2.71
Se6 0.5000 0.1155 0.8845  4 Ti 2.69-2.71, 5 Se 2.98-3.00
Se7 0.5000 0.8845 0.1155  4 Ti 2.69-2.71, 5 Se 2.98-3.00
Se8 0.6000 0.6000 0.8631  2 Ti 2.51-2.71
Se9 0.6000 0.8631 0.6000  2 Ti 2.51-2.71
Se10 0.8631 0.6000 0.6000  2 Ti 2.51-2.71
Se11 0.8845 0.1155 0.5000  4 Ti 2.69-2.71, 5 Se 2.98-3.00
Se12 0.8845 0.5000 0.1155  4 Ti 2.69-2.71, 5 Se 2.98-3.00

The calculation puts the formation energy without anion corrections at -16.4 eV/f.u. As for the symmetry: No. 166.

***

Entry 4:
The following is a DFT calculation (PBE) of crystalline RbTe2SN at its relaxed geometry.

abc: 6.6363 6.6363 3.2710
angles: 90.00 90.00 90.00
Closest atoms and distances in Å follow each position.
Element x y z (fractional)
Rb1 0.0000 0.0000 0.0000  2 Rb 3.27
Te1 0.0000 0.5000 0.5000  2 Te 3.27, 2 S 3.32
Te2 0.5000 0.0000 0.5000  2 Te 3.27, 2 S 3.32
S1 0.5000 0.5000 0.5000  2 N 1.64
N1 0.5000 0.5000 0.0000  2 S 1.64

The calculation puts the formation energy without anion corrections at 1.9 eV/f.u. As for the symmetry: No. 123.

***

Entry 5:
The following is a DFT calculation (PBE) of crystalline CeDy2Tl3Te6 at its relaxed geometry.

abc: 7.7934 7.7934 8.5902
angles: 98.71 98.71 119.98
Closest atoms and distances in Å follow each position.
Element x y z (fractional)
Ce1 0.0000 0.0000 0.0000  6 Te 3.19-3.20
Dy1 0.3331 0.6669 0.0000  6 Te 3.11-3.12
Dy2 0.6669 0.3331 0.0000  6 Te 3.11-3.12
Tl1 0.1648 0.8352 0.5000  6 Te 3.46-3.51
Tl2 0.5000 0.5000 0.5000  6 Te 3.45-3.51
Tl3 0.8352 0.1648 0.5000  6 Te 3.46-3.51
Te1 0.0720 0.4137 0.2157  2 Dy 3.11-3.12, 1 Ce 3.20, 1 Tl 3.46
Te2 0.2705 0.2705 0.7862  2 Dy 3.11, 1 Ce 3.19, 1 Tl 3.45
Te3 0.4137 0.0720 0.2157  2 Dy 3.11-3.12, 1 Ce 3.20, 1 Tl 3.46
Te4 0.5863 0.9280 0.7843  2 Dy 3.11-3.12, 1 Ce 3.20, 1 Tl 3.46
Te5 0.7295 0.7295 0.2138  2 Dy 3.11, 1 Ce 3.19, 1 Tl 3.45
Te6 0.9280 0.5863 0.7843  2 Dy 3.11-3.12, 1 Ce 3.20, 1 Tl 3.46

The calculation puts the formation energy without anion corrections at -12.4 eV/f.u. As for the symmetry: No. 12.

***

Entry 6:
The following is a DFT calculation (PBE) of crystalline RePPb2 at its relaxed geometry.

abc: 3.3183 4.3921 12.9779
angles: 90.00 90.00 90.00
Closest atoms and distances in Å follow each position.
Element x y z (fractional)
Re1 0.0000 0.0000 0.0000  2 P 2.32
Re2 0.5000 0.5000 0.5000  2 P 2.32
P1 0.0000 0.5000 0.3754  2 Re 2.32
P2 0.5000 0.0000 0.8754  2 Re 2.32
Pb1 0.0000 0.0000 0.5757  4 Re 2.92
Pb2 0.0000 0.5000 0.7754  4 P 3.04, 4 Pb 3.32-3.40
Pb3 0.5000 0.0000 0.2754  4 P 3.04, 4 Pb 3.32-3.40
Pb4 0.5000 0.5000 0.0757  4 Re 2.92

Its formation enthalpy at 0 K is 0.462 eV per atom. As for the symmetry: No. 44.

***

Entry 7:
The following is a DFT calculation (PBE) of crystalline Li3SeS at its relaxed geometry.

abc: 4.7422 4.7422 4.7422
angles: 90.00 90.00 90.00
Closest atoms and distances in Å follow each position.
Element x y z (fractional)
Li1 0.0000 0.0000 0.5000  2 Se 2.37
Li2 0.0000 0.5000 0.0000  2 Se 2.37
Li3 0.5000 0.0000 0.0000  2 Se 2.37
Se1 0.0000 0.0000 0.0000  6 Li 2.37
S1 0.5000 0.5000 0.5000  12 Li 3.35

The calculation puts the formation energy without anion corrections at -3.5 eV/f.u. As for the symmetry: No. 221.

***

Entry 8:
The following is a DFT calculation (PBE) of crystalline GaRe at its relaxed geometry.

abc: 5.1033 5.1033 5.1033
angles: 90.00 90.00 90.00
Closest atoms and distances in Å follow each position.
Element x y z (fractional)
Ga1 0.0000 0.0000 0.0000  6 Re 2.55
Ga2 0.0000 0.5000 0.5000  6 Re 2.55
Ga3 0.5000 0.0000 0.5000  6 Re 2.55
Ga4 0.5000 0.5000 0.0000  6 Re 2.55
Re1 0.0000 0.0000 0.5000  6 Ga 2.55
Re2 0.0000 0.5000 0.0000  6 Ga 2.55
Re3 0.5000 0.0000 0.0000  6 Ga 2.55
Re4 0.5000 0.5000 0.5000  6 Ga 2.55

Its formation enthalpy at 0 K is 1.020 eV per atom. As for the symmetry: No. 225.

***

The calculation returns the following E values, one per record and in order: -0.5623 -0.3356 -0.4245 -0.2616 -0.3276 -0.4305 -0.2477 -0.4937 Ry/atom.